No. 1
Entry from Alexandria: a relaxed structure of LaPrSmSn (GGA-PBE).

Results
calculated formation energy: -1.66 eV per formula unit
density of states at the Fermi level: 9.0 states/eV/cell
crystal system: tetragonal

Cell and atoms, written as CIF:
```
data_LaPrSmSn
_symmetry_space_group_name_H-M 'I -4 m 2'
_symmetry_Int_Tables_number 119
_symmetry_space_group_name_Hall 'I -4 -2'
_cell_length_a 4.9217
_cell_length_b 4.9217
_cell_length_c 10.2327
_cell_angle_alpha 90.00
_cell_angle_beta 90.00
_cell_angle_gamma 90.00
loop_
_atom_site_label
_atom_site_fract_x
_atom_site_fract_y
_atom_site_fract_z
La1 0.0000 0.0000 0.0000
Pr1 0.0000 0.5000 0.2500
Sm1 0.0000 0.5000 0.7500
Sn1 0.0000 0.0000 0.5000
```

No. 2
Entry from Alexandria: a relaxed structure of LaPrSmSn (GGA-PBE).

Results
calculated formation energy: -1.08 eV per formula unit
density of states at the Fermi level: 27.2 states/eV/cell
crystal system: cubic

Cell and atoms, written as CIF:
```
data_LaPrSmSn
_symmetry_space_group_name_H-M 'F -4 3 m'
_symmetry_Int_Tables_number 216
_symmetry_space_group_name_Hall 'F -4 2 3'
_cell_length_a 7.9506
_cell_length_b 7.9506
_cell_length_c 7.9506
_cell_angle_alpha 90.00
_cell_angle_beta 90.00
_cell_angle_gamma 90.00
loop_
_atom_site_label
_atom_site_fract_x
_atom_site_fract_y
_atom_site_fract_z
La1 0.0000 0.0000 0.0000
Pr1 0.0000 0.0000 0.5000
Sm1 0.2500 0.2500 0.2500
Sn1 0.2500 0.2500 0.7500
```

No. 3
Entry from Alexandria: a relaxed structure of La4TbPrSm2 (GGA-PBE).

Results
calculated formation energy: 0.12 eV per formula unit
density of states at the Fermi level: 12.4 states/eV/cell
crystal system: monoclinic

Cell and atoms, written as CIF:
```
data_La4TbPrSm2
_symmetry_space_group_name_H-M 'P 1 2/m 1'
_symmetry_Int_Tables_number 10
_cell_length_a 5.2357
_cell_length_b 5.2712
_cell_length_c 10.2673
_cell_angle_alpha 90.00
_cell_angle_beta 90.05
_cell_angle_gamma 90.00
loop_
_symmetry_equiv_pos_as_xyz
'x,y,z'
'-x,-y,-z'
'-x,y,-z'
'x,-y,z'
loop_
_atom_site_label
_atom_site_fract_x
_atom_site_fract_y
_atom_site_fract_z
La1 0.9997 0.0000 0.2474
La2 0.4997 0.5000 0.2475
Tb1 0.0000 0.5000 0.0000
Pr1 0.5000 0.0000 0.5000
Sm1 0.0000 0.5000 0.5000
Sm2 0.5000 0.0000 0.0000
```

No. 4
Entry from Alexandria: a relaxed structure of LaTb4PrSm2 (GGA-PBE).

Results
calculated formation energy: 0.13 eV per formula unit
density of states at the Fermi level: 21.7 states/eV/cell
crystal system: triclinic

Cell and atoms, written as CIF:
```
data_LaTb4PrSm2
_symmetry_space_group_name_H-M 'P 1'
_symmetry_Int_Tables_number 1
_cell_length_a 7.2722
_cell_length_b 7.2795
_cell_length_c 10.1516
_cell_angle_alpha 90.01
_cell_angle_beta 90.04
_cell_angle_gamma 90.26
loop_
_symmetry_equiv_pos_as_xyz
'x,y,z'
loop_
_atom_site_label
_atom_site_fract_x
_atom_site_fract_y
_atom_site_fract_z
La1 0.0000 0.0000 0.0000
La2 0.9996 0.5001 0.0000
Tb1 0.2520 0.2490 0.2520
Tb2 0.2518 0.2488 0.7479
Tb3 0.2521 0.7515 0.2521
Tb4 0.2518 0.7513 0.7478
Tb5 0.7480 0.2487 0.2522
Tb6 0.7480 0.2489 0.7477
Tb7 0.7481 0.7512 0.2523
Tb8 0.7481 0.7514 0.7476
Pr1 0.0003 0.5001 0.4999
Pr2 0.4999 0.5002 0.9999
Sm1 0.0000 0.0002 0.4999
Sm2 0.5003 0.0001 0.9999
Sm3 0.4997 0.0001 0.5000
Sm4 0.5000 0.5000 0.5000
```

No. 5
Entry from Alexandria: a relaxed structure of LaTb3Pr2Sm6 (GGA-PBE).

Results
calculated formation energy: 0.21 eV per formula unit
density of states at the Fermi level: 36.1 states/eV/cell
crystal system: monoclinic

Cell and atoms, written as CIF:
```
data_LaTb3Pr2Sm6
_symmetry_space_group_name_H-M 'C 1 2/m 1'
_symmetry_Int_Tables_number 12
_cell_length_a 6.3052
_cell_length_b 10.9235
_cell_length_c 12.0680
_cell_angle_alpha 90.00
_cell_angle_beta 100.06
_cell_angle_gamma 90.00
loop_
_symmetry_equiv_pos_as_xyz
'x,y,z'
'-x,-y,-z'
'-x,y,-z'
'x,-y,z'
'x+1/2,y+1/2,z'
'-x+1/2,-y+1/2,-z'
'-x+1/2,y+1/2,-z'
'x+1/2,-y+1/2,z'
loop_
_atom_site_label
_atom_site_fract_x
_atom_site_fract_y
_atom_site_fract_z
La1 0.0000 0.0000 0.0000
Tb1 0.0000 0.1668 0.5000
Tb2 0.0000 0.5000 0.5000
Pr1 0.0000 0.3334 0.0000
Sm1 0.2485 0.0000 0.7450
Sm2 0.2481 0.3332 0.7452
```

No. 6
Entry from Alexandria: a relaxed structure of La4Tb2PrSm (GGA-PBE).

Results
calculated formation energy: 0.09 eV per formula unit
density of states at the Fermi level: 12.0 states/eV/cell
crystal system: monoclinic

Cell and atoms, written as CIF:
```
data_La4Tb2PrSm
_symmetry_space_group_name_H-M 'P 1 2/m 1'
_symmetry_Int_Tables_number 10
_cell_length_a 6.3858
_cell_length_b 3.6931
_cell_length_c 12.0863
_cell_angle_alpha 90.00
_cell_angle_beta 100.17
_cell_angle_gamma 90.00
loop_
_symmetry_equiv_pos_as_xyz
'x,y,z'
'-x,-y,-z'
'-x,y,-z'
'x,-y,z'
loop_
_atom_site_label
_atom_site_fract_x
_atom_site_fract_y
_atom_site_fract_z
La1 0.2477 0.0000 0.2462
La2 0.2504 0.5000 0.7531
Tb1 0.0000 0.5000 0.0000
Tb2 0.5000 0.0000 0.0000
Pr1 0.5000 0.5000 0.5000
Sm1 0.0000 0.0000 0.5000
```

- density of states at the Fermi level of number 1 (LaPrSmSn)?
  9.0 states/eV/cell